No. 1
A relaxed MgOsRu crystal. Source: Alexandria, functional PBE.

Cell: 4.467 4.467 5.773 Å, 90.00 90.00 90.00°
Positions (direct):
Os 0.000 0.500 0.326
Os 0.500 0.000 0.674
Mg 0.500 0.000 0.150
Mg 0.000 0.500 0.850
Ru 0.500 0.500 0.500
Ru 0.000 0.000 0.500

## Properties
Its size of the total moment is 0.00 μB/f.u. The space-group type is P4/nmm. The excess energy over the best structure of this formula in the dataset is 8.97 kcal/mol of atoms. The value obtained for the calculated formation energy is 460 meV/atom.

---

No. 2
A relaxed ZnFeNiAu crystal. Source: Alexandria, functional PBE.

Cell: 4.290 4.290 4.290 Å, 60.00 60.00 60.00°
Each line ends with the local moment (μB).
Positions (direct):
Zn 0.500 0.500 0.500  -0.03
Au 0.750 0.750 0.750  0.01
Fe 0.000 0.000 0.000  2.93
Ni 0.250 0.250 0.250  0.32

## Properties
Its size of the total moment is 3.19 μB/f.u. The space-group type is F-43m. The value obtained for the calculated formation energy is 32 meV/atom.

---

No. 3
A relaxed SrHoTl crystal. Source: Alexandria, functional PBE.

Cell: 4.001 5.435 5.435 Å, 120.00 90.00 90.00°
Positions (direct):
Ho 0.204 0.667 0.333
Tl 0.115 0.000 0.000
Sr 0.681 0.333 0.667

## Properties
Its size of the total moment is 0.00 μB/f.u. The space-group type is P3m1. The excess energy over the best structure of this formula in the dataset is 3.63 kcal/mol of atoms. The value obtained for the calculated formation energy is -112 meV/atom.

---

No. 4
A relaxed MnAl6Ga2 crystal. Source: Alexandria, functional PBE.

Cell: 3.205 7.177 7.177 Å, 120.00 90.00 90.00°
Positions (direct):
Al 0.500 0.641 0.000
Al 0.000 0.000 0.261
Al 0.500 0.000 0.641
Al 0.500 0.359 0.359
Al 0.000 0.261 0.000
Al 0.000 0.739 0.739
Mn 0.500 0.000 0.000
Ga 0.000 0.333 0.667
Ga 0.000 0.667 0.333

## Properties
Its size of the total moment is 0.00 μB/f.u. The space-group type is P-62m. The excess energy over the best structure of this formula in the dataset is 0.00 kcal/mol of atoms. The value obtained for the calculated formation energy is -77 meV/atom.

---

No. 5
A relaxed KNiTe crystal. Source: Alexandria, functional PBE.

Cell: 5.351 4.283 4.283 Å, 120.00 90.00 90.00°
Positions (direct):
K 0.666 0.667 0.333
Ni 0.167 0.000 0.000
Te 0.166 0.333 0.667

## Properties
Its size of the total moment is 0.00 μB/f.u. The space-group type is P3m1. As for the uncorrected formation energy: -0.4485 eV/atom.

---

No. 6
A relaxed Ta3SiBr crystal. Source: Alexandria, functional PBE.

Cell: 4.753 4.753 4.753 Å, 90.00 90.00 90.00°
Positions (direct):
Ta 0.000 0.000 0.500
Ta 0.000 0.500 0.000
Ta 0.500 0.000 0.000
Br 0.500 0.500 0.500
Si 0.000 0.000 0.000

## Properties
Its size of the total moment is 0.00 μB/f.u. The space-group type is Pm-3m. As for the uncorrected formation energy: 1.2565 eV/atom. The excess energy over the best structure of this formula in the dataset is 0.00 kcal/mol of atoms.

---

No. 7
A relaxed LiPuGaPt2 crystal. Source: Alexandria, functional PBE.

Cell: 3.879 3.879 6.726 Å, 106.76 106.76 90.00°
Each line ends with the local moment (μB).
Positions (direct):
Ga 0.250 0.750 0.500  0.01
Pt 0.611 0.611 0.221  -0.03
Pt 0.389 0.389 0.779  -0.03
Pu 0.000 0.000 0.000  5.14
Li 0.750 0.250 0.500  0.01

## Properties
Its size of the total moment is 5.34 μB/f.u. The space-group type is I-4m2. The value obtained for the calculated formation energy is -730 meV/atom.

---

No. 8
A relaxed LaPtW3 crystal. Source: Alexandria, functional PBE.

Cell: 4.737 4.737 4.737 Å, 90.00 90.00 90.00°
Positions (direct):
W 0.000 0.000 0.500
W 0.000 0.500 0.000
W 0.500 0.000 0.000
La 0.000 0.000 0.000
Pt 0.500 0.500 0.500

## Properties
Its size of the total moment is 0.00 μB/f.u. The space-group type is Pm-3m. The excess energy over the best structure of this formula in the dataset is 30.12 kcal/mol of atoms. The value obtained for the calculated formation energy is 2866 meV/atom.